This record from Alexandria via LeMat-Bulk describes an optimized crystal structure of Rh3NO. The functional is PBE-GGA.

Computed properties:
ρ = 8.7 g/cm3
Energy = -31.71 eV/cell
Energy relative to the lowest polymorph listed for this composition = 0 meV per atom

POSCAR file:
```
Rh3NO
1.0
4.0151 0.0000 0.0000
0.0000 4.0151 0.0000
0.0000 0.0000 4.0151
N Rh O
1 3 1
Cartesian
0.0000 0.0000 0.0000 N
0.0000 2.0076 0.0000 Rh
0.0000 0.0000 2.0076 Rh
2.0076 0.0000 0.0000 Rh
2.0076 2.0076 2.0076 O
```

This record from Alexandria via LeMat-Bulk describes an optimized crystal structure of Sr2GeCl. The functional is PBE-GGA.

Computed properties:
ρ = 3.6 g/cm3
Energy = -14.32 eV/cell
Energy relative to the lowest polymorph listed for this composition = 97 meV per atom

POSCAR file:
```
Sr2GeCl
1.0
-1.9807 -3.8488 -0.0355
1.8882 -3.4231 1.8587
-3.6638 -0.6191 7.6221
Sr Cl Ge
2 1 1
Cartesian
-0.8532 -2.0154 2.1955 Sr
-2.8123 -1.0421 5.9782 Sr
-1.9175 -3.9260 4.7986 Cl
-3.7153 -5.4722 8.8178 Ge
```

This record from Alexandria via LeMat-Bulk describes an optimized crystal structure of BeGaTc2C. The functional is PBE-GGA.

Computed properties:
ρ = 8.1 g/cm3
Energy = -36.71 eV/cell

POSCAR file:
```
BeGaTc2C
1.0
4.1826 0.0000 0.0000
0.0000 4.1826 0.0000
0.0000 0.0000 3.3711
Tc Ga Be C
2 1 1 1
Cartesian
2.0913 0.0000 0.0000 Tc
0.0000 2.0913 0.0000 Tc
2.0913 2.0913 1.6856 Ga
0.0000 0.0000 1.6856 Be
0.0000 0.0000 0.0000 C
```

This record from Alexandria via LeMat-Bulk describes an optimized crystal structure of CaYAgF2. The functional is PBE-GGA.

Computed properties:
ρ = 2.6 g/cm3
Energy = -23.72 eV/cell

POSCAR file:
```
CaYAgF2
1.0
4.2614 0.0000 0.0000
0.0000 9.7932 0.0000
0.0000 0.0000 4.2614
F Ca Y Ag
2 1 1 1
Cartesian
0.0000 0.0000 2.1307 F
2.1307 0.0000 0.0000 F
0.0000 0.0000 0.0000 Ca
0.0000 4.8966 0.0000 Y
2.1307 4.8966 2.1307 Ag
```